This record from OQMD via LeMat-Bulk describes a relaxed structure of La2Sm2C2I2Br3. The functional is PBE-GGA.

POSCAR file:
```
La2Sm2C2I2Br3
1.0
10.0775 -2.0092 0.0000
10.0775 2.0092 0.0000
-1.9554 0.0000 8.2126
Br C I La Sm
3 2 2 2 2
Direct
0.1590 0.1590 0.3517
0.5000 0.5000 0.5000
0.8410 0.8410 0.6483
0.5358 0.5358 0.0214
0.4642 0.4642 0.9786
0.8302 0.8302 0.1797
0.1698 0.1698 0.8203
0.0005 0.0005 0.2028
0.9995 0.9995 0.7972
0.6501 0.6501 0.0950
0.3499 0.3499 0.9050
```

Calculated values
VASP energy: -60.3 eV for the cell shown



This record from OQMD via LeMat-Bulk describes a relaxed structure of Nd4C2I3Br2. The functional is PBE-GGA.

POSCAR file:
```
Nd4C2I3Br2
1.0
9.8866 -2.0148 0.0000
9.8866 2.0148 0.0000
-2.1609 0.0000 8.4333
Br C I Nd
2 2 3 4
Direct
0.1677 0.1677 0.3415
0.8323 0.8323 0.6585
0.4635 0.4635 0.4784
0.5365 0.5365 0.5216
0.5000 0.5000 0.0000
0.8367 0.8367 0.1277
0.1633 0.1633 0.8723
0.0018 0.0018 0.3093
0.3449 0.3449 0.4086
0.6551 0.6551 0.5914
0.9982 0.9982 0.6907
```

Calculated values
VASP energy: -58.6 eV for the cell shown